Arrangement i

An optimized crystal structure of TlInRe2, computed with PBE-GGA.

Calculated values
- Total moment: 0.0000 μB/atom

Unit cell a=9.991 b=9.991 c=9.991 alpha=17.16 beta=17.16 gamma=17.16
Sites, in units of the cell vectors:
In (0.742, 0.742, 0.742)
Re (0.993, 0.993, 0.993)
Re (0.259, 0.259, 0.259)
Tl (0.505, 0.505, 0.505)

Arrangement ii

An optimized crystal structure of TlInRe2, computed with PBE-GGA.

Calculated values
- Total moment: 0.0000 μB/atom

Unit cell a=4.985 b=4.985 c=4.985 alpha=129.26 beta=129.26 gamma=74.59
Sites, in units of the cell vectors:
In (0.750, 0.250, 0.500)
Re (0.000, 0.000, 0.000)
Re (0.250, 0.750, 0.500)
Tl (0.500, 0.500, 0.000)

Relative energies, in meV per atom, with the most stable structure set to zero: arrangement i 0; arrangement ii 529.

Arrangement i

An optimized crystal structure of TlInRe2, computed with PBE-GGA.

Calculated values
- Total moment: 0.5155 μB/atom

Unit cell a=7.686 b=7.686 c=6.089 alpha=50.87 beta=50.87 gamma=90.00
Each line ends with the local moment (μB).
Sites, in units of the cell vectors:
Re (0.619, 0.125, 0.250)  0.90
Re (0.131, 0.625, 0.250)  0.90
Re (0.375, 0.381, 0.750)  0.90
Re (0.875, 0.869, 0.750)  0.90
Tl (0.000, 0.000, 0.000)  0.00
Tl (0.750, 0.250, 0.500)  0.00
In (0.500, 0.500, 0.000)  -0.01
In (0.250, 0.750, 0.500)  -0.01

Arrangement ii

An optimized crystal structure of TlInRe2, computed with PBE-GGA.

Calculated values
- Total moment: 0.0000 μB/atom

Unit cell a=3.059 b=3.059 c=8.631 alpha=90.00 beta=90.00 gamma=90.00
Sites, in units of the cell vectors:
In (0.500, 0.500, 0.795)
Re (0.000, 0.000, 0.038)
Re (0.500, 0.500, 0.200)
Tl (0.000, 0.000, 0.466)

Relative energies, in meV per atom, with the most stable structure set to zero: arrangement i 1119; arrangement ii 0.

Arrangement i

An optimized crystal structure of TlInRe, computed with PBE-GGA.

Calculated values
- Total moment: 0.0000 μB/atom

Unit cell a=7.497 b=7.497 c=7.497 alpha=157.03 beta=157.03 gamma=32.71
Sites, in units of the cell vectors:
In (0.979, 0.979, 0.000)
Re (0.339, 0.339, 0.000)
Tl (0.682, 0.682, 0.000)

Arrangement ii

An optimized crystal structure of TlInRe, computed with PBE-GGA.

Calculated values
- Total moment: 0.3324 μB/atom

Unit cell a=3.098 b=3.098 c=7.563 alpha=90.00 beta=90.00 gamma=120.00
Each line ends with the local moment (μB).
Sites, in units of the cell vectors:
In (0.000, 0.000, 0.030)  0.03
Re (0.667, 0.333, 0.326)  0.82
Tl (0.333, 0.667, 0.644)  0.02

Arrangement iii

An optimized crystal structure of TlInRe, computed with PBE-GGA.

Calculated values
- Total moment: 0.3711 μB/atom

Unit cell a=4.655 b=4.655 c=4.655 alpha=60.00 beta=60.00 gamma=60.00
Each line ends with the local moment (μB).
Sites, in units of the cell vectors:
In (0.500, 0.500, 0.500)  -0.03
Re (0.750, 0.750, 0.750)  1.02
Tl (0.000, 0.000, 0.000)  -0.02

Relative energies, in meV per atom, with the most stable structure set to zero: arrangement i 73; arrangement ii 0; arrangement iii 188.

Arrangement i

An optimized crystal structure of TlIn3Re, computed with PBE-GGA.

Calculated values
- Total moment: 0.0000 μB/atom

Unit cell a=5.274 b=5.274 c=5.274 alpha=90.00 beta=90.00 gamma=90.00
Sites, in units of the cell vectors:
Re (0.000, 0.000, 0.000)
Tl (0.500, 0.500, 0.500)
In (0.000, 0.500, 0.000)
In (0.000, 0.000, 0.500)
In (0.500, 0.000, 0.000)

Arrangement ii

An optimized crystal structure of TlIn3Re, computed with PBE-GGA.

Calculated values
- Total moment: 0.8024 μB/atom

Unit cell a=5.622 b=5.622 c=5.622 alpha=90.00 beta=90.00 gamma=90.00
Each line ends with the local moment (μB).
Sites, in units of the cell vectors:
Re (0.500, 0.500, 0.500)  3.60
Tl (0.000, 0.000, 0.000)  0.02
In (0.000, 0.500, 0.000)  -0.04
In (0.000, 0.000, 0.500)  0.00
In (0.500, 0.000, 0.000)  -0.04

Relative energies, in meV per atom, with the most stable structure set to zero: arrangement i 0; arrangement ii 1306.

Arrangement i

An optimized crystal structure of YIn2Re, computed with PBE-GGA.

Calculated values
- Total moment: 0.0000 μB/atom

Unit cell a=4.259 b=4.259 c=10.851 alpha=78.68 beta=78.68 gamma=90.00
Sites, in units of the cell vectors:
Y (0.500, 0.500, 0.000)
Y (0.250, 0.750, 0.500)
Re (0.000, 0.000, 0.000)
Re (0.750, 0.250, 0.500)
In (0.654, 0.125, 0.250)
In (0.096, 0.625, 0.250)
In (0.375, 0.346, 0.750)
In (0.875, 0.904, 0.750)

Arrangement ii

An optimized crystal structure of YIn2Re, computed with PBE-GGA.

Calculated values
- Total moment: 0.0000 μB/atom

Unit cell a=4.645 b=3.191 c=5.898 alpha=79.25 beta=90.00 gamma=90.00
Sites, in units of the cell vectors:
In (0.000, 0.136, 0.992)
In (0.500, 0.153, 0.279)
Re (0.000, 0.494, 0.472)
Y (0.500, 0.717, 0.756)

Arrangement iii

An optimized crystal structure of YIn2Re, computed with PBE-GGA.

Calculated values
- Total moment: 0.0495 μB/atom

Unit cell a=5.225 b=5.225 c=5.225 alpha=129.16 beta=129.16 gamma=74.75
Each line ends with the local moment (μB).
Sites, in units of the cell vectors:
In (0.000, 0.000, 0.000)  0.00
In (0.500, 0.500, 0.000)  0.00
Re (0.250, 0.750, 0.500)  0.18
Y (0.750, 0.250, 0.500)  -0.01

Relative energies, in meV per atom, with the most stable structure set to zero: arrangement i 365; arrangement ii 175; arrangement iii 0.

Arrangement i

An optimized crystal structure of ZnInRe2, computed with PBE-GGA.

Calculated values
- Total moment: 0.0000 μB/atom

Unit cell a=5.346 b=5.346 c=5.346 alpha=146.44 beta=129.55 gamma=61.96
Sites, in units of the cell vectors:
In (0.250, 0.750, 0.500)
Re (0.992, 0.992, 0.000)
Re (0.508, 0.508, 0.000)
Zn (0.750, 0.250, 0.500)

Arrangement ii

An optimized crystal structure of ZnInRe2, computed with PBE-GGA.

Calculated values
- Total moment: 0.0000 μB/atom

Unit cell a=4.748 b=4.748 c=5.051 alpha=82.89 beta=82.89 gamma=35.41
Sites, in units of the cell vectors:
In (0.253, 0.253, 0.265)
Re (0.006, 0.006, 0.964)
Re (0.746, 0.746, 0.769)
Zn (0.495, 0.495, 0.502)

Relative energies, in meV per atom, with the most stable structure set to zero: arrangement i 32; arrangement ii 0.